Record 1
# TcRh4

A geometry-optimized TcRh4 structure (PBE, Alexandria via LeMat-Bulk).

a = 6.8025 Å, b = 6.8025 Å, c = 6.8025 Å
α = 149.85°, β = 149.85°, γ = 43.16°
With the nearest neighbours (Å) after each atom.
Fractional coordinates of all 5 atoms:
Tc1 0.0000 0.0000 0.0000  8 Rh 2.79
Rh1 0.5976 0.5976 0.0000  5 Rh 2.47-2.62
Rh2 0.7500 0.2500 0.5000  8 Rh 2.50-2.62
Rh3 0.2500 0.7500 0.5000  8 Rh 2.50-2.62
Rh4 0.4024 0.4024 0.0000  5 Rh 2.47-2.62

Computed properties:
crystal system: tetragonal
DFT formation energy: 0.54 eV per atom



Record 2
# WS2Cl

A geometry-optimized WS2Cl structure (PBE, Alexandria via LeMat-Bulk).

a = 8.1470 Å, b = 8.1470 Å, c = 8.1470 Å
α = 23.62°, β = 23.62°, γ = 23.62°
With the nearest neighbours (Å) after each atom.
Fractional coordinates of all 4 atoms:
Cl1 0.0000 0.0000 0.0000  2 S 2.47
S1 0.1038 0.1038 0.1038  3 W 2.44, 1 Cl 2.47
S2 0.8962 0.8962 0.8962  3 W 2.44, 1 Cl 2.47
W1 0.5000 0.5000 0.5000  6 S 2.44

Computed properties:
energy relative to the elements, uncorrected: -226 meV/atom
crystal system: trigonal



Record 3
# Ba2InGa

A geometry-optimized Ba2InGa structure (PBE, Alexandria via LeMat-Bulk).

a = 4.7489 Å, b = 6.4076 Å, c = 6.4076 Å
α = 63.92°, β = 68.28°, γ = 68.28°
With the nearest neighbours (Å) after each atom.
Fractional coordinates of all 4 atoms:
Ba1 0.0505 0.8890 0.0098  3 Ga 3.40-3.51, 2 In 3.78
Ba2 0.4495 0.4902 0.6110  3 Ga 3.40-3.51, 2 In 3.78
Ga1 0.7500 0.9383 0.5617  2 In 2.90
In1 0.2500 0.1826 0.3174  2 Ga 2.90

Computed properties:
crystal system: orthorhombic
DFT formation energy: -0.31 eV per atom



Record 4
# Tm2NiAg

A geometry-optimized Tm2NiAg structure (PBE, Alexandria via LeMat-Bulk).

a = 3.4223 Å, b = 3.4223 Å, c = 7.1079 Å
α = 90.00°, β = 90.00°, γ = 90.00°
With the nearest neighbours (Å) after each atom.
Fractional coordinates of all 4 atoms:
Ni1 0.5000 0.5000 0.0000  8 Tm 2.91
Tm1 0.0000 0.0000 0.2267  4 Ni 2.91, 4 Ag 3.10, 1 Tm 3.22
Tm2 0.0000 0.0000 0.7733  4 Ni 2.91, 4 Ag 3.10, 1 Tm 3.22
Ag1 0.5000 0.5000 0.5000  8 Tm 3.10, 4 Ag 3.42

Computed properties:
crystal system: tetragonal
DFT formation energy: -0.39 eV per atom



Computed DFT total energy (eV/atom) in order:
-7.42, -5.99, -2.71, -4.79